Compound: ZrInFeCu
Source: OQMD via LeMat-Bulk
Functional: GGA-PBE
Structure: relaxed

```
data_ZrInFeCu
_cell_length_a 6.4690
_cell_length_b 6.4690
_cell_length_c 6.4690
_cell_angle_alpha 90.00
_cell_angle_beta 90.00
_cell_angle_gamma 90.00
_symmetry_space_group_name_H-M 'F -4 3 m'
_symmetry_Int_Tables_number 216
_symmetry_space_group_name_Hall 'F -4 2 3'
loop_
_atom_site_label
_atom_site_type_symbol
_atom_site_fract_x
_atom_site_fract_y
_atom_site_fract_z
Zr1 Zr 0.0000 0.0000 0.0000
In1 In 0.2500 0.2500 0.2500
Fe1 Fe 0.2500 0.2500 0.7500
Cu1 Cu 0.0000 0.0000 0.5000
```

---

Compound: ZrInFeCu
Source: OQMD via LeMat-Bulk
Functional: GGA-PBE
Structure: relaxed

```
data_ZrInFeCu
_cell_length_a 6.4230
_cell_length_b 6.4230
_cell_length_c 6.4230
_cell_angle_alpha 90.00
_cell_angle_beta 90.00
_cell_angle_gamma 90.00
_symmetry_space_group_name_H-M 'F -4 3 m'
_symmetry_Int_Tables_number 216
_symmetry_space_group_name_Hall 'F -4 2 3'
loop_
_atom_site_label
_atom_site_type_symbol
_atom_site_fract_x
_atom_site_fract_y
_atom_site_fract_z
Zr1 Zr 0.0000 0.0000 0.0000
In1 In 0.0000 0.0000 0.5000
Fe1 Fe 0.2500 0.2500 0.2500
Cu1 Cu 0.2500 0.2500 0.7500
```

---

For reference, electronic total energy by record: -90.9, -94.5 eV for the cell shown.